(1)
DFT (PBE-GGA) results for a geometry-optimized LiMoBr2 structure.

POSCAR file:
```
LiMoBr2
1.0
7.888 0.000 0.000
0.000 3.326 0.000
-1.520 0.000 5.865
Li Mo Br
2 2 4
Direct
0.000 0.000 0.000
0.500 0.500 0.000
0.000 0.500 0.500
0.500 0.000 0.500
0.249 0.000 0.730
0.251 0.500 0.270
0.749 0.500 0.730
0.751 0.000 0.270
```

Calculated values
DOS at the Fermi energy = 2.02 states/eV/f.u.
polymorph energy (0 for the lowest one) = 0.37 eV/f.u.
uncorrected energy = -4.04 eV/atom
calculated density = 5.67 g/cm³
space-group type = No. 12
ΔE_f (raw) = -19 meV/atom

(2)
DFT (PBE-GGA) results for a geometry-optimized Dy5YMg structure.

POSCAR file:
```
Dy5YMg
1.0
7.732 -3.214 0.000
7.732 3.214 0.000
-6.562 0.000 8.857
Dy Y Mg
10 2 2
Direct
0.005 0.995 0.750
0.069 0.560 0.903
0.165 0.674 0.426
0.326 0.835 0.074
0.440 0.931 0.597
0.560 0.069 0.403
0.674 0.165 0.926
0.835 0.326 0.574
0.931 0.440 0.097
0.995 0.005 0.250
0.492 0.508 0.750
0.508 0.492 0.250
0.000 0.500 0.500
0.500 0.000 0.000
```

Calculated values
DOS at the Fermi energy = 10.54 states/eV/f.u.
polymorph energy (0 for the lowest one) = 1.23 eV/f.u.
uncorrected energy = -4.25 eV/atom
calculated density = 6.98 g/cm³
space-group type = No. 15
energy of formation = 1.34 eV/f.u.

(3)
DFT (PBE-GGA) results for a geometry-optimized TbMg2Au structure.

POSCAR file:
```
TbMg2Au
1.0
3.329 0.000 0.000
-1.665 2.883 0.000
0.000 0.000 31.365
Tb Mg Au
3 6 3
Direct
0.000 0.000 0.000
0.333 0.667 0.667
0.667 0.333 0.333
0.000 0.000 0.103
0.000 0.000 0.897
0.333 0.667 0.564
0.333 0.667 0.770
0.667 0.333 0.230
0.667 0.333 0.436
0.000 0.000 0.500
0.333 0.667 0.167
0.667 0.333 0.833
```

Calculated values
DOS at the Fermi energy = 1.89 states/eV/f.u.
uncorrected energy = -2.79 eV/atom
calculated density = 6.69 g/cm³
space-group type = No. 166
energy of formation = -0.07 eV/f.u.

(4)
DFT (PBE-GGA) results for a geometry-optimized BaAsP2Se8 structure.

POSCAR file:
```
BaAsP2Se8
1.0
6.328 0.000 0.000
-3.164 5.480 0.000
0.000 0.000 9.425
Ba As P Se
1 1 2 8
Direct
0.000 0.000 0.000
0.000 0.000 0.500
0.333 0.667 0.742
0.667 0.333 0.258
0.013 0.679 0.317
0.321 0.334 0.317
0.333 0.667 0.974
0.334 0.013 0.683
0.666 0.987 0.317
0.667 0.333 0.026
0.679 0.666 0.683
0.987 0.321 0.683
```

Calculated values
DOS at the Fermi energy = 8.16 states/eV/f.u.
uncorrected energy = -4.12 eV/atom
calculated density = 4.60 g/cm³
space-group type = No. 147
ΔE_f (raw) = -348 meV/atom

(5)
DFT (PBE-GGA) results for a geometry-optimized GdYPdRh structure.

POSCAR file:
```
GdYPdRh
1.0
6.980 0.000 0.000
0.000 6.980 0.000
0.000 0.000 6.980
Gd Y Pd Rh
4 4 4 4
Direct
0.000 0.000 0.000
0.000 0.500 0.500
0.500 0.000 0.500
0.500 0.500 0.000
0.000 0.000 0.500
0.000 0.500 0.000
0.500 0.000 0.000
0.500 0.500 0.500
0.250 0.250 0.750
0.250 0.750 0.250
0.750 0.250 0.250
0.750 0.750 0.750
0.250 0.250 0.250
0.250 0.750 0.750
0.750 0.250 0.750
0.750 0.750 0.250
```

Calculated values
DOS at the Fermi energy = 2.26 states/eV/f.u.
uncorrected energy = -9.11 eV/atom
calculated density = 8.90 g/cm³
space-group type = No. 216
energy of formation = -3.35 eV/f.u.

(6)
DFT (PBE-GGA) results for a geometry-optimized Ta6Al2C structure.

POSCAR file:
```
Ta6Al2C
1.0
5.472 0.000 0.000
0.000 6.331 0.000
-5.333 0.000 8.540
Ta Al C
12 4 2
Direct
0.115 0.182 0.466
0.115 0.318 0.966
0.307 0.688 0.466
0.307 0.812 0.966
0.364 0.006 0.250
0.364 0.494 0.750
0.636 0.506 0.250
0.636 0.994 0.750
0.693 0.188 0.034
0.693 0.312 0.534
0.885 0.682 0.034
0.885 0.818 0.534
0.164 0.109 0.751
0.164 0.391 0.251
0.836 0.609 0.749
0.836 0.891 0.249
0.500 0.000 0.500
0.500 0.500 0.000
```

Calculated values
DOS at the Fermi energy = 5.20 states/eV/f.u.
uncorrected energy = -9.91 eV/atom
calculated density = 12.93 g/cm³
space-group type = No. 14
energy of formation = -1.36 eV/f.u.